No. 1
## AcMg3Pd2 (PBE)

Data for AcMg3Pd2 after structural relaxation.

Lattice parameters (Å, degrees): 10.1399 10.1399 4.5209 90.00 90.00 120.00
Fractional positions:
Ac 0.0000 0.0000 0.0000
Ac 0.3333 0.6667 0.5000
Ac 0.6667 0.3333 0.5000
Mg 0.0000 0.2972 0.5000
Mg 0.0000 0.5000 0.0000
Mg 0.0000 0.7028 0.5000
Mg 0.2972 0.0000 0.5000
Mg 0.2972 0.2972 0.5000
Mg 0.5000 0.0000 0.0000
Mg 0.5000 0.5000 0.0000
Mg 0.7028 0.0000 0.5000
Mg 0.7028 0.7028 0.5000
Pd 0.1841 0.3681 0.0000
Pd 0.1841 0.8159 0.0000
Pd 0.3681 0.1841 0.0000
Pd 0.6319 0.8159 0.0000
Pd 0.8159 0.1841 0.0000
Pd 0.8159 0.6319 0.0000

Computed properties:
- space group = P6/mmm
- total moment (μB/cell) = 0.000
- energy of formation (kJ/mol of formula units) = -347
- relative energy among the computed polymorphs (eV/atom) = 0.000

---

No. 2
## NbRh3Au (PBE)

Data for NbRh3Au after structural relaxation.

Lattice parameters (Å, degrees): 4.7609 4.7609 4.7609 90.00 90.00 90.00
Fractional positions:
Nb 0.0000 0.0000 0.0000
Rh 0.0000 0.5000 0.5000
Rh 0.5000 0.0000 0.5000
Rh 0.5000 0.5000 0.0000
Au 0.5000 0.5000 0.5000

Computed properties:
- space group = Pm-3m
- total moment (μB/cell) = 0.000
- energy of formation (kJ/mol of formula units) = 832
- relative energy among the computed polymorphs (eV/atom) = 0.762

---

No. 3
## HfCo2As2 (PBE)

Data for HfCo2As2 after structural relaxation.

Lattice parameters (Å, degrees): 4.2539 4.2539 8.3302 90.00 90.00 90.00
Fractional positions:
Hf 0.0000 0.0000 0.0000
Hf 0.5000 0.5000 0.5000
Co 0.0000 0.0000 0.3622
Co 0.0000 0.0000 0.6378
Co 0.5000 0.5000 0.1378
Co 0.5000 0.5000 0.8622
As 0.0000 0.5000 0.2500
As 0.0000 0.5000 0.7500
As 0.5000 0.0000 0.2500
As 0.5000 0.0000 0.7500

Computed properties:
- space group = I4/mmm
- total moment (μB/cell) = 0.003
- energy of formation (kJ/mol of formula units) = -118

---

No. 4
## AcPm6PrHo2 (PBE)

Data for AcPm6PrHo2 after structural relaxation.

Lattice parameters (Å, degrees): 9.0380 9.0380 9.8134 93.17 93.17 117.34
Fractional positions:
Ac 0.0316 0.9684 0.7500
Ac 0.9684 0.0316 0.2500
Pm 0.0163 0.5546 0.6784
Pm 0.1154 0.7510 0.0555
Pm 0.2490 0.8846 0.4445
Pm 0.2934 0.5115 0.8807
Pm 0.4454 0.9837 0.8216
Pm 0.4885 0.7066 0.6193
Pm 0.5115 0.2934 0.3807
Pm 0.5546 0.0163 0.1784
Pm 0.7066 0.4885 0.1193
Pm 0.7510 0.1154 0.5555
Pm 0.8846 0.2490 0.9445
Pm 0.9837 0.4454 0.3216
Pr 0.4083 0.5917 0.2500
Pr 0.5917 0.4083 0.7500
Ho 0.1999 0.3070 0.5478
Ho 0.3070 0.1999 0.0478
Ho 0.6930 0.8001 0.9522
Ho 0.8001 0.6930 0.4522

Computed properties:
- space group = C2/c
- total moment (μB/cell) = 0.000
- energy of formation (kJ/mol of formula units) = 116

---

No. 5
## Ho4PtRh (PBE)

Data for Ho4PtRh after structural relaxation.

Lattice parameters (Å, degrees): 6.8609 6.8478 6.8517 90.00 91.26 90.00
Fractional positions:
Ho 0.1677 0.1705 0.1769
Ho 0.1677 0.3295 0.6769
Ho 0.3260 0.6697 0.1646
Ho 0.3260 0.8303 0.6646
Ho 0.6740 0.1697 0.3354
Ho 0.6740 0.3303 0.8354
Ho 0.8323 0.6705 0.3231
Ho 0.8323 0.8295 0.8231
Pt 0.5000 0.0000 0.0000
Pt 0.5000 0.5000 0.5000
Rh 0.0000 0.0000 0.5000
Rh 0.0000 0.5000 0.0000

Computed properties:
- space group = P2_1/c
- total moment (μB/cell) = 0.000
- energy of formation (kJ/mol of formula units) = -426

---

No. 6
## La2HoEr4Sc (PBE)

Data for La2HoEr4Sc after structural relaxation.

Lattice parameters (Å, degrees): 9.4180 9.4180 9.4180 138.08 102.74 92.03
Fractional positions:
La 0.0000 0.0000 0.0000
La 0.5000 0.0000 0.0000
La 0.5000 0.0000 0.5000
La 0.5000 0.5000 0.5000
Ho 0.0000 0.5000 0.5000
Ho 0.5000 0.5000 0.0000
Er 0.2298 0.7483 0.4815
Er 0.2333 0.2517 0.9815
Er 0.2355 0.2378 0.5023
Er 0.2355 0.7332 0.9977
Er 0.7645 0.2668 0.0023
Er 0.7645 0.7622 0.4977
Er 0.7667 0.7483 0.0185
Er 0.7702 0.2517 0.5185
Sc 0.0000 0.0000 0.5000
Sc 0.0000 0.5000 0.0000

Computed properties:
- space group = Imma
- total moment (μB/cell) = 2.435
- energy of formation (kJ/mol of formula units) = 320

---

No. 7
## BaCeHgBr6 (PBE)

Data for BaCeHgBr6 after structural relaxation.

Lattice parameters (Å, degrees): 8.1214 8.1214 15.0262 90.00 90.00 120.00
Fractional positions:
Ba 0.3333 0.6667 0.2500
Ba 0.6667 0.3333 0.7500
Ce 0.3333 0.6667 0.7500
Ce 0.6667 0.3333 0.2500
Hg 0.0000 0.0000 0.0000
Hg 0.0000 0.0000 0.5000
Br 0.0411 0.3946 0.6415
Br 0.0411 0.6466 0.8585
Br 0.3534 0.3946 0.8585
Br 0.3534 0.9589 0.6415
Br 0.3946 0.0411 0.1415
Br 0.3946 0.3534 0.3585
Br 0.6054 0.6466 0.6415
Br 0.6054 0.9589 0.8585
Br 0.6466 0.0411 0.3585
Br 0.6466 0.6054 0.1415
Br 0.9589 0.3534 0.1415
Br 0.9589 0.6054 0.3585

Computed properties:
- uncorrected formation energy (meV per atom) = -1583
- space group = P-31c
- total moment (μB/cell) = 0.177

---

No. 8
## Ti5Mn2Al2Os (PBE)

Data for Ti5Mn2Al2Os after structural relaxation.

Lattice parameters (Å, degrees): 10.0889 10.0889 3.0774 90.00 90.00 90.00
Fractional positions:
Ti 0.0000 0.5000 0.0000
Ti 0.0721 0.1988 0.0000
Ti 0.1988 0.9279 0.0000
Ti 0.3012 0.4279 0.0000
Ti 0.4279 0.6988 0.0000
Ti 0.5000 0.0000 0.0000
Ti 0.5721 0.3012 0.0000
Ti 0.6988 0.5721 0.0000
Ti 0.8012 0.0721 0.0000
Ti 0.9279 0.8012 0.0000
Mn 0.1292 0.3708 0.5000
Mn 0.3708 0.8708 0.5000
Mn 0.6292 0.1292 0.5000
Mn 0.8708 0.6292 0.5000
Al 0.1730 0.6730 0.5000
Al 0.3270 0.1730 0.5000
Al 0.6730 0.8270 0.5000
Al 0.8270 0.3270 0.5000
Os 0.0000 0.0000 0.5000
Os 0.5000 0.5000 0.5000

Computed properties:
- space group = P4/mbm
- total moment (μB/cell) = 0.000
- energy of formation (kJ/mol of formula units) = -173

---

No. 9
## Ca2As2Rh3 (PBE)

Data for Ca2As2Rh3 after structural relaxation.

Lattice parameters (Å, degrees): 10.6233 3.8293 7.1465 90.00 114.39 90.00
Fractional positions:
Ca 0.1257 0.0000 0.2659
Ca 0.3743 0.5000 0.7341
Ca 0.6257 0.5000 0.2659
Ca 0.8743 0.0000 0.7341
As 0.1505 0.0000 0.7257
As 0.3495 0.5000 0.2743
As 0.6505 0.5000 0.7257
As 0.8495 0.0000 0.2743
Rh 0.0000 0.5000 0.5000
Rh 0.1369 0.5000 0.9345
Rh 0.3631 0.0000 0.0655
Rh 0.5000 0.0000 0.5000
Rh 0.6369 0.0000 0.9345
Rh 0.8631 0.5000 0.0655

Computed properties:
- space group = C2/m
- total moment (μB/cell) = 0.000
- energy of formation (kJ/mol of formula units) = -487

---

No. 10
## InSbI2O (PBE)

Data for InSbI2O after structural relaxation.

Lattice parameters (Å, degrees): 6.4912 6.4912 4.0389 90.00 90.00 90.00
Fractional positions:
In 0.0000 0.0000 0.0000
Sb 0.5000 0.5000 0.0000
I 0.0000 0.5000 0.5000
I 0.5000 0.0000 0.5000
O 0.5000 0.5000 0.5000

Computed properties:
- uncorrected formation energy (meV per atom) = -86
- space group = P4/mmm
- total moment (μB/cell) = 0.000
- relative energy among the computed polymorphs (eV/atom) = 0.378

---

No. 11
## NdCd3Au3 (PBE)

Data for NdCd3Au3 after structural relaxation.

Lattice parameters (Å, degrees): 7.4858 7.4858 7.4858 90.00 90.00 90.00
Fractional positions:
Nd 0.0000 0.0000 0.0000
Nd 0.5000 0.5000 0.5000
Cd 0.0000 0.2500 0.5000
Cd 0.0000 0.7500 0.5000
Cd 0.2500 0.5000 0.0000
Cd 0.5000 0.0000 0.2500
Cd 0.5000 0.0000 0.7500
Cd 0.7500 0.5000 0.0000
Au 0.0000 0.5000 0.2500
Au 0.0000 0.5000 0.7500
Au 0.2500 0.0000 0.5000
Au 0.5000 0.2500 0.0000
Au 0.5000 0.7500 0.0000
Au 0.7500 0.0000 0.5000

Computed properties:
- space group = Pm-3n
- total moment (μB/cell) = 0.000
- energy of formation (kJ/mol of formula units) = 125
- relative energy among the computed polymorphs (eV/atom) = 0.585

---

No. 12
## Li3Ge4Ir (PBE)

Data for Li3Ge4Ir after structural relaxation.

Lattice parameters (Å, degrees): 4.1329 5.8827 11.0389 90.00 90.00 90.00
Fractional positions:
Li 0.0000 0.0000 0.0000
Li 0.0000 0.5000 0.1265
Li 0.0000 0.5000 0.8735
Li 0.5000 0.0000 0.3735
Li 0.5000 0.0000 0.6265
Li 0.5000 0.5000 0.5000
Ge 0.0000 0.2820 0.3301
Ge 0.0000 0.2820 0.6699
Ge 0.0000 0.7180 0.3301
Ge 0.0000 0.7180 0.6699
Ge 0.5000 0.2180 0.1699
Ge 0.5000 0.2180 0.8301
Ge 0.5000 0.7820 0.1699
Ge 0.5000 0.7820 0.8301
Ir 0.0000 0.0000 0.5000
Ir 0.5000 0.5000 0.0000

Computed properties:
- space group = Immm
- total moment (μB/cell) = 0.000
- energy of formation (kJ/mol of formula units) = -204

---

No. 13
## La4SmTm7 (PBE)

Data for La4SmTm7 after structural relaxation.

Lattice parameters (Å, degrees): 6.7444 6.7444 12.8879 114.69 114.69 51.98
Fractional positions:
La 0.1352 0.1352 0.2780
La 0.2845 0.2845 0.8403
La 0.7155 0.7155 0.1597
La 0.8648 0.8648 0.7220
Sm 0.5000 0.5000 0.5000
Tm 0.0000 0.0000 0.5000
Tm 0.1332 0.1332 0.9935
Tm 0.2887 0.2887 0.5760
Tm 0.4284 0.4284 0.1911
Tm 0.5716 0.5716 0.8089
Tm 0.7113 0.7113 0.4240
Tm 0.8668 0.8668 0.0065

Computed properties:
- space group = C2/m
- total moment (μB/cell) = 0.000
- energy of formation (kJ/mol of formula units) = 291

---

No. 14
## LiVIr2 (PBE)

Data for LiVIr2 after structural relaxation.

Lattice parameters (Å, degrees): 2.9854 2.9854 5.8293 90.00 90.00 90.00
Fractional positions:
Li 0.0000 0.0000 0.0000
V 0.0000 0.0000 0.5000
Ir 0.5000 0.5000 0.2436
Ir 0.5000 0.5000 0.7564

Computed properties:
- space group = P4/mmm
- total moment (μB/cell) = 0.001
- energy of formation (kJ/mol of formula units) = -160
- relative energy among the computed polymorphs (eV/atom) = 0.066

---

No. 15
## TaRhIN2 (PBE)

Data for TaRhIN2 after structural relaxation.

Lattice parameters (Å, degrees): 3.9599 3.9599 5.3739 90.00 90.00 90.00
Fractional positions:
Ta 0.0000 0.0000 0.0000
Rh 0.5000 0.5000 0.5000
I 0.5000 0.5000 0.0000
N 0.0000 0.5000 0.5000
N 0.5000 0.0000 0.5000

Computed properties:
- uncorrected formation energy (meV per atom) = 1822
- space group = P4/mmm
- total moment (μB/cell) = 0.001
- relative energy among the computed polymorphs (eV/atom) = 1.194

---

No. 16
## Co2TcW (PBE)

Data for Co2TcW after structural relaxation.

Lattice parameters (Å, degrees): 2.6718 2.6718 7.3121 90.00 90.00 90.00
Fractional positions:
Co 0.0000 0.0000 0.0000
Co 0.5000 0.5000 0.2246
Tc 0.0000 0.0000 0.4554
W 0.5000 0.5000 0.7586

Computed properties:
- space group = P4mm
- total moment (μB/cell) = 1.433
- energy of formation (kJ/mol of formula units) = 49
- relative energy among the computed polymorphs (eV/atom) = 0.155

---

No. 17
## SmBi2Sb2Pd7 (PBE)

Data for SmBi2Sb2Pd7 after structural relaxation.

Lattice parameters (Å, degrees): 4.1350 4.1350 15.2926 94.52 94.52 89.93
Fractional positions:
Sm 0.0000 0.0000 0.0000
Bi 0.1280 0.1280 0.4070
Bi 0.8720 0.8720 0.5930
Sb 0.4275 0.4275 0.7496
Sb 0.5725 0.5725 0.2504
Pd 0.0409 0.5416 0.1411
Pd 0.3644 0.3644 0.5757
Pd 0.4584 0.9591 0.8589
Pd 0.5000 0.5000 0.0000
Pd 0.5416 0.0409 0.1411
Pd 0.6356 0.6356 0.4243
Pd 0.9591 0.4584 0.8589

Computed properties:
- uncorrected formation energy (meV per atom) = -451
- space group = C2/m
- total moment (μB/cell) = 0.000

---

No. 18
## Sr4PbO5 (PBE)

Data for Sr4PbO5 after structural relaxation.

Lattice parameters (Å, degrees): 6.3879 6.3879 6.3879 99.73 99.73 131.45
Fractional positions:
Sr 0.1029 0.3003 0.4032
Sr 0.3003 0.8971 0.1974
Sr 0.6997 0.1029 0.8026
Sr 0.8971 0.6997 0.5968
Pb 0.5088 0.5088 0.0000
O 0.1952 0.6078 0.7954
O 0.3998 0.1952 0.5875
O 0.6078 0.8124 0.4125
O 0.8124 0.3998 0.2046
O 0.9433 0.9433 0.0000

Computed properties:
- uncorrected formation energy (meV per atom) = -2406
- space group = I4
- total moment (μB/cell) = 0.000

---

No. 19
## Sm5U2S12 (PBE)

Data for Sm5U2S12 after structural relaxation.

Lattice parameters (Å, degrees): 8.5609 8.5609 9.0447 105.71 105.71 51.52
Fractional positions:
Sm 0.0000 0.0000 0.0000
Sm 0.2940 0.2940 0.1356
Sm 0.3117 0.3117 0.6781
Sm 0.6883 0.6883 0.3219
Sm 0.7060 0.7060 0.8644
U 0.2527 0.7472 0.5000
U 0.7472 0.2527 0.5000
S 0.0061 0.0061 0.3045
S 0.0942 0.5544 0.4079
S 0.1037 0.5984 0.9345
S 0.4016 0.8963 0.0655
S 0.4456 0.9058 0.5921
S 0.4983 0.4983 0.2844
S 0.5017 0.5017 0.7156
S 0.5544 0.0942 0.4079
S 0.5984 0.1037 0.9345
S 0.8963 0.4016 0.0655
S 0.9058 0.4456 0.5921
S 0.9939 0.9939 0.6955

Computed properties:
- uncorrected formation energy (meV per atom) = -1776
- space group = C2/m
- total moment (μB/cell) = 3.000

---

No. 20
## Ti2NiHgH (PBE)

Data for Ti2NiHgH after structural relaxation.

Lattice parameters (Å, degrees): 4.1100 4.1100 3.8970 90.00 90.00 90.00
Fractional positions:
Ti 0.0000 0.5000 0.0000
Ti 0.5000 0.0000 0.0000
Ni 0.0000 0.0000 0.5000
Hg 0.5000 0.5000 0.5000
H 0.0000 0.0000 0.0000

Computed properties:
- electronic total energy (eV/atom) = -5.230
- space group = P4/mmm
- total moment (μB/cell) = 0.820

---

no.,calculated volume (Å³ per atom)
1,22.4
2,21.6
3,15.1
4,35.4
5,26.8
6,32.4
7,47.7
8,15.7
9,18.9
10,34.0
11,30.0
12,16.8
13,34.1
14,13.0
15,16.9
16,13.0
17,21.7
18,17.8
19,26.0
20,13.2